Entry 1:
ThScZnGe | GGA-PBE | optimized geometry

DOS at the Fermi energy	0.97	states/eV/atom
energy relative to the elements	-1.64	eV/f.u.
E_tot	-21.3	eV/f.u.
SG	F-43m (216)

Lattice parameters (Å, degrees): 7.0706 7.0706 7.0706 90.00 90.00 90.00
Element x y z (fractional)
Th1 0.0000 0.0000 0.0000
Th2 0.0000 0.5000 0.5000
Th3 0.5000 0.0000 0.5000
Th4 0.5000 0.5000 0.0000
Sc1 0.0000 0.0000 0.5000
Sc2 0.0000 0.5000 0.0000
Sc3 0.5000 0.0000 0.0000
Sc4 0.5000 0.5000 0.5000
Zn1 0.2500 0.2500 0.7500
Zn2 0.2500 0.7500 0.2500
Zn3 0.7500 0.2500 0.2500
Zn4 0.7500 0.7500 0.7500
Ge1 0.2500 0.2500 0.2500
Ge2 0.2500 0.7500 0.7500
Ge3 0.7500 0.2500 0.7500
Ge4 0.7500 0.7500 0.2500

---

Entry 2:
Sc2Ti2Ge | GGA-PBE | optimized geometry

DOS at the Fermi energy	1.07	states/eV/atom
energy relative to the elements	-0.92	eV/f.u.
E_tot	-34.0	eV/f.u.
SG	P4/mbm (127)

Lattice parameters (Å, degrees): 6.8275 6.8275 4.2577 90.00 90.00 90.00
Element x y z (fractional)
Sc1 0.1580 0.3420 0.0000
Sc2 0.3420 0.8420 0.0000
Sc3 0.6580 0.1580 0.0000
Sc4 0.8420 0.6580 0.0000
Ti1 0.1405 0.6405 0.5000
Ti2 0.3595 0.1405 0.5000
Ti3 0.6405 0.8595 0.5000
Ti4 0.8595 0.3595 0.5000
Ge1 0.0000 0.0000 0.5000
Ge2 0.5000 0.5000 0.5000

---

Entry 3:
Sc2TiGe | GGA-PBE | optimized geometry

DOS at the Fermi energy	1.05	states/eV/atom
energy relative to the elements	-1.38	eV/f.u.
E_tot	-26.6	eV/f.u.
SG	P4/mmm (123)

Lattice parameters (Å, degrees): 4.3030 4.3030 4.1406 90.00 90.00 90.00
Element x y z (fractional)
Sc1 0.0000 0.5000 0.0000
Sc2 0.5000 0.0000 0.0000
Ti1 0.0000 0.0000 0.5000
Ge1 0.5000 0.5000 0.5000

---

Entry 4:
Sc2TiGe | GGA-PBE | optimized geometry

DOS at the Fermi energy	1.51	states/eV/atom
energy relative to the elements	0.69	eV/f.u.
E_tot	-24.5	eV/f.u.
SG	R-3m (166)

Lattice parameters (Å, degrees): 3.1304 3.1304 30.8418 90.00 90.00 120.00
Element x y z (fractional)
Sc1 0.0000 0.0000 0.0894
Sc2 0.0000 0.0000 0.9106
Sc3 0.3333 0.6667 0.5773
Sc4 0.3333 0.6667 0.7561
Sc5 0.6667 0.3333 0.2439
Sc6 0.6667 0.3333 0.4227
Ti1 0.0000 0.0000 0.5000
Ti2 0.3333 0.6667 0.1667
Ti3 0.6667 0.3333 0.8333
Ge1 0.0000 0.0000 0.0000
Ge2 0.3333 0.6667 0.6667
Ge3 0.6667 0.3333 0.3333

---

Entry 5:
Sc2TiGe | GGA-PBE | optimized geometry

DOS at the Fermi energy	1.26	states/eV/atom
energy relative to the elements	0.33	eV/f.u.
E_tot	-24.8	eV/f.u.
SG	I-42d (122)

Lattice parameters (Å, degrees): 7.7409 7.7409 5.5682 90.00 90.00 90.00
Element x y z (fractional)
Sc1 0.2221 0.2500 0.1250
Sc2 0.2500 0.7221 0.3750
Sc3 0.2500 0.7779 0.8750
Sc4 0.2779 0.2500 0.6250
Sc5 0.7221 0.7500 0.6250
Sc6 0.7500 0.2221 0.8750
Sc7 0.7500 0.2779 0.3750
Sc8 0.7779 0.7500 0.1250
Ti1 0.0000 0.0000 0.5000
Ti2 0.0000 0.5000 0.7500
Ti3 0.5000 0.0000 0.2500
Ti4 0.5000 0.5000 0.0000
Ge1 0.0000 0.0000 0.0000
Ge2 0.0000 0.5000 0.2500
Ge3 0.5000 0.0000 0.7500
Ge4 0.5000 0.5000 0.5000

---

Entry 6:
ScTi3Ge2 | GGA-PBE | optimized geometry

DOS at the Fermi energy	0.86	states/eV/atom
energy relative to the elements	-3.11	eV/f.u.
E_tot	-42.4	eV/f.u.
SG	C2/m (12)

Lattice parameters (Å, degrees): 7.9235 7.9235 7.8256 112.20 112.20 28.12
Element x y z (fractional)
Sc1 0.1150 0.1150 0.1382
Sc2 0.8850 0.8850 0.8618
Ti1 0.0613 0.0613 0.6812
Ti2 0.3091 0.3091 0.1044
Ti3 0.3584 0.3584 0.5087
Ti4 0.6416 0.6416 0.4913
Ti5 0.6909 0.6909 0.8956
Ti6 0.9387 0.9387 0.3188
Ge1 0.2444 0.2444 0.7135
Ge2 0.4889 0.4889 0.1557
Ge3 0.5111 0.5111 0.8443
Ge4 0.7556 0.7556 0.2865

---

Entry 7:
Sc5Ti2Ge4 | GGA-PBE | optimized geometry

DOS at the Fermi energy	1.28	states/eV/atom
energy relative to the elements	-2.73	eV/f.u.
E_tot	-68.6	eV/f.u.
SG	C2/m (12)

Lattice parameters (Å, degrees): 11.6445 11.6445 6.4551 90.63 90.63 15.19
Element x y z (fractional)
Sc1 0.0000 0.0000 0.0000
Sc2 0.2659 0.2659 0.7633
Sc3 0.3655 0.3655 0.1522
Sc4 0.6345 0.6345 0.8478
Sc5 0.7341 0.7341 0.2367
Ti1 0.4106 0.4106 0.6917
Ti2 0.5894 0.5894 0.3083
Ge1 0.1688 0.1688 0.5075
Ge2 0.4725 0.4725 0.3370
Ge3 0.5275 0.5275 0.6630
Ge4 0.8312 0.8312 0.4925

---

Entry 8:
ScTiGe | GGA-PBE | optimized geometry

DOS at the Fermi energy	1.49	states/eV/atom
energy relative to the elements	-1.17	eV/f.u.
E_tot	-20.0	eV/f.u.
SG	I4mm (107)

Lattice parameters (Å, degrees): 3.4616 3.4616 9.0551 90.00 90.00 90.00
Element x y z (fractional)
Sc1 0.0000 0.0000 0.0000
Sc2 0.5000 0.5000 0.5000
Ti1 0.0000 0.0000 0.3157
Ti2 0.5000 0.5000 0.8157
Ge1 0.0000 0.0000 0.6740
Ge2 0.5000 0.5000 0.1740